No. 1
# Pm4DyHo4 (GGA-PBE, relaxed)
# * N(E_F): 13.47 states/eV/cell
# * E above lowest polymorph: 0 kJ/mol of formula units
# * energy relative to the elements: 0.020 eV per atom
data_Pm4DyHo4
_cell_length_a 5.058
_cell_length_b 8.014
_cell_length_c 8.014
_cell_angle_alpha 84.29
_cell_angle_beta 71.61
_cell_angle_gamma 71.61
_symmetry_space_group_name_H-M 'P 1'
_symmetry_Int_Tables_number 1
loop_
_symmetry_equiv_pos_as_xyz
'x,y,z'
loop_
_atom_site_label
_atom_site_type_symbol
_atom_site_fract_x
_atom_site_fract_y
_atom_site_fract_z
Pm1 Pm 0.669 0.331 0.331
Pm2 Pm 0.331 0.669 0.669
Pm3 Pm 0.000 0.669 0.331
Pm4 Pm 0.000 0.331 0.669
Dy1 Dy 0.000 0.000 0.000
Ho1 Ho 0.666 0.668 0.000
Ho2 Ho 0.334 0.332 0.000
Ho3 Ho 0.666 0.000 0.668
Ho4 Ho 0.334 0.000 0.332

***

No. 2
# Pm5Dy3Ho2 (GGA-PBE, relaxed)
# * N(E_F): 36.26 states/eV/cell
# * energy relative to the elements: 0.187 eV per atom
data_Pm5Dy3Ho2
_cell_length_a 9.954
_cell_length_b 9.952
_cell_length_c 11.236
_cell_angle_alpha 129.06
_cell_angle_beta 129.06
_cell_angle_gamma 64.99
_symmetry_space_group_name_H-M 'P 1'
_symmetry_Int_Tables_number 1
loop_
_symmetry_equiv_pos_as_xyz
'x,y,z'
loop_
_atom_site_label
_atom_site_type_symbol
_atom_site_fract_x
_atom_site_fract_y
_atom_site_fract_z
Pm1 Pm 0.272 0.522 0.044
Pm2 Pm 0.728 0.478 0.956
Pm3 Pm 0.022 0.772 0.543
Pm4 Pm 0.519 0.269 0.538
Pm5 Pm 0.978 0.228 0.457
Pm6 Pm 0.481 0.731 0.462
Pm7 Pm 0.885 0.637 0.760
Pm8 Pm 0.115 0.363 0.240
Pm9 Pm 0.374 0.122 0.760
Pm10 Pm 0.626 0.878 0.240
Dy1 Dy 0.226 0.976 0.952
Dy2 Dy 0.774 0.024 0.048
Dy3 Dy 0.720 0.475 0.250
Dy4 Dy 0.280 0.525 0.750
Dy5 Dy 0.030 0.775 0.250
Dy6 Dy 0.970 0.225 0.750
Ho1 Ho 0.778 0.034 0.756
Ho2 Ho 0.222 0.966 0.244
Ho3 Ho 0.478 0.723 0.756
Ho4 Ho 0.522 0.277 0.244

***

No. 3
# PmDy2Ho12 (GGA-PBE, relaxed)
# * N(E_F): 46.99 states/eV/cell
# * energy relative to the elements: 0.114 eV per atom
data_PmDy2Ho12
_cell_length_a 6.583
_cell_length_b 6.583
_cell_length_c 24.756
_cell_angle_alpha 96.63
_cell_angle_beta 96.63
_cell_angle_gamma 114.92
_symmetry_space_group_name_H-M 'P 1'
_symmetry_Int_Tables_number 1
loop_
_symmetry_equiv_pos_as_xyz
'x,y,z'
loop_
_atom_site_label
_atom_site_type_symbol
_atom_site_fract_x
_atom_site_fract_y
_atom_site_fract_z
Pm1 Pm 0.500 0.000 0.000
Pm2 Pm 0.000 0.500 0.000
Dy1 Dy 0.457 0.957 0.272
Dy2 Dy 0.957 0.457 0.272
Dy3 Dy 0.043 0.543 0.728
Dy4 Dy 0.543 0.043 0.728
Ho1 Ho 0.595 0.595 0.798
Ho2 Ho 0.095 0.095 0.798
Ho3 Ho 0.941 0.941 0.925
Ho4 Ho 0.394 0.894 0.862
Ho5 Ho 0.000 0.000 0.331
Ho6 Ho 0.106 0.606 0.138
Ho7 Ho 0.681 0.181 0.574
Ho8 Ho 0.500 0.500 0.331
Ho9 Ho 0.441 0.441 0.925
Ho10 Ho 0.559 0.559 0.075
Ho11 Ho 0.167 0.167 0.555
Ho12 Ho 0.819 0.319 0.426
Ho13 Ho 0.000 0.000 0.669
Ho14 Ho 0.333 0.333 0.445
Ho15 Ho 0.059 0.059 0.075
Ho16 Ho 0.833 0.833 0.445
Ho17 Ho 0.667 0.667 0.555
Ho18 Ho 0.905 0.905 0.202
Ho19 Ho 0.181 0.681 0.574
Ho20 Ho 0.500 0.500 0.669
Ho21 Ho 0.893 0.393 0.862
Ho22 Ho 0.405 0.405 0.202
Ho23 Ho 0.319 0.819 0.426
Ho24 Ho 0.607 0.107 0.138

***

Q: Which of these has the highest N(E_F)?
A: PmDy2Ho12

***

Q: N(E_F) of number 1 (Pm4DyHo4)?
A: 13.47 states/eV/cell

***

What did the third record say?
# PmDy2Ho12 (GGA-PBE, relaxed)
# * N(E_F): 46.99 states/eV/cell
# * energy relative to the elements: 0.114 eV per atom
data_PmDy2Ho12
_cell_length_a 6.583
_cell_length_b 6.583
_cell_length_c 24.756
_cell_angle_alpha 96.63
_cell_angle_beta 96.63
_cell_angle_gamma 114.92
_symmetry_space_group_name_H-M 'P 1'
_symmetry_Int_Tables_number 1
loop_
_symmetry_equiv_pos_as_xyz
'x,y,z'
loop_
_atom_site_label
_atom_site_type_symbol
_atom_site_fract_x
_atom_site_fract_y
_atom_site_fract_z
Pm1 Pm 0.500 0.000 0.000
Pm2 Pm 0.000 0.500 0.000
Dy1 Dy 0.457 0.957 0.272
Dy2 Dy 0.957 0.457 0.272
Dy3 Dy 0.043 0.543 0.728
Dy4 Dy 0.543 0.043 0.728
Ho1 Ho 0.595 0.595 0.798
Ho2 Ho 0.095 0.095 0.798
Ho3 Ho 0.941 0.941 0.925
Ho4 Ho 0.394 0.894 0.862
Ho5 Ho 0.000 0.000 0.331
Ho6 Ho 0.106 0.606 0.138
Ho7 Ho 0.681 0.181 0.574
Ho8 Ho 0.500 0.500 0.331
Ho9 Ho 0.441 0.441 0.925
Ho10 Ho 0.559 0.559 0.075
Ho11 Ho 0.167 0.167 0.555
Ho12 Ho 0.819 0.319 0.426
Ho13 Ho 0.000 0.000 0.669
Ho14 Ho 0.333 0.333 0.445
Ho15 Ho 0.059 0.059 0.075
Ho16 Ho 0.833 0.833 0.445
Ho17 Ho 0.667 0.667 0.555
Ho18 Ho 0.905 0.905 0.202
Ho19 Ho 0.181 0.681 0.574
Ho20 Ho 0.500 0.500 0.669
Ho21 Ho 0.893 0.393 0.862
Ho22 Ho 0.405 0.405 0.202
Ho23 Ho 0.319 0.819 0.426
Ho24 Ho 0.607 0.107 0.138

***

Q: Look up the energy relative to the elements of the first one.
A: 0.020 eV per atom